(1)
DFT (PBE) results for crystalline Li2LaRu at its relaxed geometry.

## Properties
**V**: 78 Å³/cell
**Formation energy**: 0.4700 eV per atom
**Excess energy over the best structure of this formula in the dataset**: 478 meV per atom
**E_tot**: -4.038 eV/atom
**Space-group type**: Cmmm

Structure (extended XYZ):
```
4
Lattice="1.5522 -2.4318 0.0000 1.5522 2.4318 0.0000 0.0000 0.0000 10.3351" Properties=species:S:1:pos:R:3 pbc="T T T"
Li 0.0000 0.0000 2.0613
Li 0.0000 0.0000 8.2738
La 1.5522 0.0000 5.1675
Ru 1.5522 0.0000 0.0000
```

(2)
DFT (PBE) results for crystalline LiLa3Ru at its relaxed geometry.

## Properties
**V**: 293 Å³/cell
**Formation energy**: -0.1235 eV per atom
**Excess energy over the best structure of this formula in the dataset**: 42 meV per atom
**E_tot**: -5.318 eV/atom
**Space-group type**: P-1

Structure (extended XYZ):
```
10
Lattice="6.2156 0.0000 0.0000 -1.8271 6.0798 0.0000 -0.0074 -1.4043 7.7425" Properties=species:S:1:pos:R:3 pbc="T T T"
Li -0.2155 2.4506 1.2032
Li 4.5966 2.2249 6.5393
La -0.2442 4.2658 4.1782
La -0.2160 5.8806 0.9477
La 1.5205 1.4331 5.8255
La 2.8606 3.2424 1.9170
La 4.5972 -1.2052 6.7948
La 4.6254 0.4097 3.5643
Ru 1.3264 1.2430 3.1314
Ru 3.0547 3.4325 4.6111
```

(3)
DFT (PBE) results for crystalline LiLa3Ru at its relaxed geometry.

## Properties
**V**: 677 Å³/cell
**Formation energy**: -0.1112 eV per atom
**Excess energy over the best structure of this formula in the dataset**: 55 meV per atom
**E_tot**: -5.306 eV/atom
**Space-group type**: Pnma

Structure (extended XYZ):
```
20
Lattice="7.8238 0.0000 0.0000 0.0000 11.1423 0.0000 0.0000 0.0000 7.7665" Properties=species:S:1:pos:R:3 pbc="T T T"
Li 0.3129 2.7856 0.1137
Li 3.5991 8.3567 3.9969
Li 4.2248 2.7856 3.7695
Li 7.5110 8.3567 7.6527
La 0.0058 2.7856 4.3338
La 1.6561 5.8853 6.1272
La 1.6561 10.8282 6.1272
La 2.2558 0.3141 2.2440
La 2.2558 5.2570 2.2440
La 3.9061 8.3567 0.4505
La 3.9177 2.7856 7.3159
La 5.5681 5.8853 5.5225
La 5.5681 10.8282 5.5225
La 6.1677 0.3141 1.6392
La 6.1677 5.2570 1.6392
La 7.8180 8.3567 3.4327
Ru 0.0000 0.0000 3.8832
Ru 0.0000 5.5712 3.8832
Ru 3.9119 0.0000 0.0000
Ru 3.9119 5.5712 0.0000
```